(1)
Below is an optimized crystal structure of TlSiI2N, with properties calculated at the GGA-PBE level.

The formation energy without anion corrections is 3 kJ/mol of atoms. The value obtained for the density of states at the Fermi level is 0.3332 states/eV per atom.

The structure belongs to space group P4/mmm (No. 123); the cell edges are 6.338, 6.338 and 3.373 Å and the angles 90.00°, 90.00° and 90.00°. The distinct sites, in fractional coordinates, are Tl at (0.000, 0.000, 0.000), Si at (0.500, 0.500, 0.500), I at (0.000, 0.500, 0.500) and N at (0.500, 0.500, 0.000).

=====

(2)
Below is an optimized crystal structure of HoTm3Hg12, with properties calculated at the GGA-PBE level.

For the formation energy from the elements, the calculation gives -0.28 eV/atom. The value obtained for the density of states at the Fermi level is 0.6950 states/eV per atom.

The structure belongs to space group P4/mmm (No. 123); the cell edges are 4.469, 4.469 and 19.314 Å and the angles 90.00°, 90.00° and 90.00°. The distinct sites, in fractional coordinates, are Ho at (0.000, 0.000, 0.000), Tm at (0.000, 0.000, 0.251), Tm at (0.000, 0.000, 0.500), Hg at (0.000, 0.500, 0.126), Hg at (0.000, 0.500, 0.375), Hg at (0.500, 0.500, 0.000), Hg at (0.500, 0.500, 0.250) and Hg at (0.500, 0.500, 0.500).

=====

(3)
Below is an optimized crystal structure of Li2AlSiPd, with properties calculated at the GGA-PBE level.

The formation energy without anion corrections is 43 kJ/mol of atoms. The value obtained for the density of states at the Fermi level is 0.5277 states/eV per atom.

The structure belongs to space group P4/mmm (No. 123); the cell edges are 4.670, 4.670 and 4.535 Å and the angles 90.00°, 90.00° and 90.00°. The distinct sites, in fractional coordinates, are Li at (0.000, 0.500, 0.000), Al at (0.000, 0.000, 0.000), Si at (0.500, 0.500, 0.500) and Pd at (0.000, 0.000, 0.500).

=====

(4)
Below is an optimized crystal structure of La2TmH12Rh3, with properties calculated at the GGA-PBE level.

The value obtained for the total energy is -4.67 eV/atom. The value obtained for the density of states at the Fermi level is 0.3484 states/eV per atom.

The structure belongs to space group R-3m (No. 166, hexagonal axes); the cell edges are 6.6754, 6.6754 and 14.1304 Å and the angles 90.00°, 90.00° and 120.00°. The distinct sites, in fractional coordinates, are La at (0.0000, 0.0000, 0.1170), Tm at (0.0000, 0.0000, 0.5000), H at (0.0192, 0.5096, 0.8805), H at (0.0628, 0.5314, 0.3237) and Rh at (0.0000, 0.5000, 0.0000).

=====

(5)
Below is an optimized crystal structure of NdInCuPd, with properties calculated at the GGA-PBE level.

For the formation energy from the elements, the calculation gives -0.48 eV/atom. The value obtained for the density of states at the Fermi level is 0.9631 states/eV per atom.

The structure belongs to space group F-43m (No. 216); the cell edges are 6.898, 6.898 and 6.898 Å and the angles 90.00°, 90.00° and 90.00°. The distinct sites, in fractional coordinates, are Nd at (0.000, 0.000, 0.000), In at (0.000, 0.000, 0.500), Cu at (0.250, 0.250, 0.250) and Pd at (0.250, 0.250, 0.750).

=====

(6)
Below is an optimized crystal structure of NaCaGe4, with properties calculated at the GGA-PBE level.

For the formation energy from the elements, the calculation gives -0.17 eV/atom. The value obtained for the density of states at the Fermi level is 1.4675 states/eV per atom.

The structure belongs to space group F-43m (No. 216); the cell edges are 8.058, 8.058 and 8.058 Å and the angles 90.00°, 90.00° and 90.00°. The distinct sites, in fractional coordinates, are Na at (0.000, 0.000, 0.000), Ca at (0.250, 0.250, 0.750) and Ge at (0.125, 0.125, 0.375).